# 1
DFT (PBEsol) results for an optimized crystal structure of Sb2PbCl.

Unit cell a=5.690 b=5.690 c=5.690 alpha=135.40 beta=116.97 gamma=80.47
Sites, in units of the cell vectors:
1 Sb 0.000 0.000 0.000
2 Sb 0.782 0.282 0.500
3 Pb 0.315 0.815 0.500
4 Cl 0.530 0.530 0.000

As for the density of states at the Fermi level: 1.8 states/eV per cell. As for the spin magnetization: 0.00 μB/cell. The space-group type is Imm2, No. 44. The calculation puts the uncorrected energy at -0.28855 Ry per atom. The value obtained for the polymorph energy (0 for the lowest one) is 0.208 eV/f.u.

***

# 2
DFT (PBEsol) results for an optimized crystal structure of ZrBe2Os2.

Unit cell a=6.472 b=6.472 c=3.017 alpha=90.00 beta=90.00 gamma=90.00
Sites, in units of the cell vectors:
1 Zr 0.000 0.000 0.000
2 Zr 0.500 0.500 0.000
3 Be 0.118 0.382 0.000
4 Be 0.382 0.882 0.000
5 Be 0.618 0.118 0.000
6 Be 0.882 0.618 0.000
7 Os 0.164 0.664 0.500
8 Os 0.336 0.164 0.500
9 Os 0.664 0.836 0.500
10 Os 0.836 0.336 0.500

As for the density of states at the Fermi level: 4.4 states/eV per cell. As for the spin magnetization: 0.00 μB/cell. The space-group type is P4/mbm, No. 127. The calculation puts the uncorrected energy at -0.63268 Ry per atom.

***

# 3
DFT (PBEsol) results for an optimized crystal structure of Ta2CdHg.

Unit cell a=5.178 b=5.178 c=5.289 alpha=100.62 beta=100.62 gamma=32.58
Sites, in units of the cell vectors:
1 Ta 0.000 0.000 0.000
2 Ta 0.733 0.733 0.192
3 Cd 0.491 0.491 0.484
4 Hg 0.248 0.248 0.707

As for the density of states at the Fermi level: 2.5 states/eV per cell. As for the spin magnetization: 0.00 μB/cell. The space-group type is Cm, No. 8. The calculation puts the uncorrected energy at -0.47042 Ry per atom. The value obtained for the polymorph energy (0 for the lowest one) is 0.217 eV/f.u.